Entry 1:
Material: GeRh2Cl
Method: DFT, PBE
State: optimized geometry

Computed properties:
energy relative to the lowest polymorph listed for this composition = 5 meV/atom
uncorrected formation energy = 0.18 eV per atom

a = 5.119 Å, b = 5.119 Å, c = 7.179 Å
α = 69.11°, β = 69.11°, γ = 90.00°
Positions (direct):
1 Cl 0.500 0.500 0.000
2 Cl 0.250 0.750 0.500
3 Rh 0.875 0.877 0.750
4 Rh 0.123 0.625 0.250
5 Rh 0.375 0.373 0.750
6 Rh 0.627 0.125 0.250
7 Ge 0.000 0.000 0.000
8 Ge 0.750 0.250 0.500



Entry 2:
Material: Ba4ZrTl
Method: DFT, PBE
State: optimized geometry

Computed properties:
E_form = 0.665 eV per atom

a = 7.245 Å, b = 7.245 Å, c = 7.245 Å
α = 60.00°, β = 60.00°, γ = 60.00°
Positions (direct):
1 Ba 0.375 0.876 0.375
2 Ba 0.876 0.375 0.375
3 Ba 0.375 0.375 0.375
4 Ba 0.375 0.375 0.876
5 Zr 0.000 0.000 0.000
6 Tl 0.750 0.750 0.750



Entry 3:
Material: Te2PtICl
Method: DFT, PBE
State: optimized geometry

Computed properties:
energy relative to the lowest polymorph listed for this composition = 0 meV/atom
uncorrected formation energy = 0.30 eV per atom

a = 5.310 Å, b = 5.310 Å, c = 5.528 Å
α = 90.00°, β = 90.00°, γ = 90.00°
Positions (direct):
1 Te 0.500 0.000 0.000
2 Te 0.000 0.500 0.000
3 Cl 0.500 0.500 0.500
4 I 0.000 0.000 0.500
5 Pt 0.000 0.000 0.000



Let's list final energy in order: -5.1128; -2.4361; -2.8412 eV per atom.
Let's list mass density in order: 6.4; 5.2; 6.5 Mg/m³.
Let's list total moment in order: 0.0; 4.2; 0.0 μB per formula unit.